A | KCd4Ag (PBE, relaxed); symmetry = Pmma (51)
1.0
-1.8292 3.4030 -2.0283
-6.9819 -3.6558 0.1628
-1.8302 3.8569 8.1215
Cd K Ag
8 2 2
direct
0.5000 0.3059 0.5490
0.0000 0.0000 0.5000
0.0000 0.0000 0.0000
0.5000 0.6941 0.4510
0.5000 0.0566 0.2500
0.5000 0.9434 0.7500
0.5000 0.3059 0.9510
0.5000 0.6941 0.0490
0.0000 0.3952 0.2500
0.0000 0.6048 0.7500
0.0000 0.1999 0.7500
0.0000 0.8001 0.2500


B | KCd4Ag (PBE, relaxed); symmetry = F-43m (216)
1.0
0.0000 4.2225 4.2225
4.2225 0.0000 4.2225
4.2225 4.2225 0.0000
Cd Ag K
4 1 1
direct
0.8779 0.3740 0.3740
0.3740 0.3740 0.3740
0.3740 0.3740 0.8779
0.3740 0.8779 0.3740
0.0000 0.0000 0.0000
0.7500 0.7500 0.7500


Sorted by energy, starting with the most stable: A, B.


A | K4Cd2Ag (PBE, relaxed); symmetry = I4/mmm (139)
1.0
-1.7600 5.2127 -3.5961
2.5180 -2.8486 -5.3616
-7.8911 -4.8192 2.8832
Cd K Ag
2 4 1
direct
0.4080 0.4080 0.8160
0.5920 0.5920 0.1840
0.8025 0.8025 0.6050
0.0000 0.5000 0.0000
0.5000 0.0000 0.0000
0.1975 0.1975 0.3950
0.0000 0.0000 0.0000


B | K4Cd2Ag (PBE, relaxed); symmetry = P-1 (2)
1.0
7.1733 -0.0295 2.2984
3.1219 7.3516 2.2741
0.0698 0.2890 10.8059
K Cd Ag
8 4 2
direct
0.7136 0.6110 0.9827
0.2662 0.1038 0.4742
0.2859 0.6008 0.4087
0.8579 0.1390 0.2673
0.2855 0.1492 0.8413
0.7918 0.6697 0.3212
0.7796 0.0803 0.9288
0.3053 0.6462 0.7758
0.6986 0.2690 0.5891
0.8728 0.4810 0.6609
0.2857 0.3750 0.1250
0.7857 0.8750 0.6250
0.2032 0.7668 0.0913
0.3682 0.9832 0.1587


Sorted by energy, starting with the most stable: B, A.


A | KCd2Ag9 (PBE, relaxed); symmetry = P6/mmm (191)
1.0
3.0120 0.0000 0.0000
0.0000 9.6404 0.0000
0.0000 -4.8202 8.3488
Ag Cd K
9 2 1
direct
0.5000 0.1825 0.8175
0.5000 0.8175 0.1825
0.0000 0.5000 0.5000
0.0000 0.5000 0.0000
0.0000 0.0000 0.5000
0.5000 0.1825 0.3651
0.5000 0.6349 0.8175
0.5000 0.3651 0.1825
0.5000 0.8175 0.6349
0.0000 0.6667 0.3333
0.0000 0.3333 0.6667
0.0000 0.0000 0.0000


B | KCd2Ag9 (PBE, relaxed); symmetry = R-3m (166)
1.0
0.6082 -1.9332 5.3327
-3.8345 -3.6199 2.1765
3.7801 -8.8538 -0.5894
Ag Cd K
9 2 1
direct
0.4108 0.9190 0.2594
0.9190 0.4108 0.2594
0.5892 0.5892 0.7406
0.4108 0.4108 0.2594
0.3338 0.3338 0.9987
0.5000 0.5000 0.5000
0.5892 0.0810 0.7406
0.6662 0.6662 0.0013
0.0810 0.5892 0.7406
0.8549 0.8549 0.4354
0.1451 0.1451 0.5646
0.0000 0.0000 0.0000


Sorted by energy, starting with the most stable: B, A.


A | K2CdAgP (PBE, relaxed); symmetry = P4/mmm (123)
1.0
-1.3532 5.9218 0.4791
-4.4558 -0.6866 -4.0992
-3.3990 -1.0904 3.8773
Ag Cd K P
1 1 2 1
direct
0.0000 0.0000 0.0000
0.0000 0.0000 0.5000
0.5000 0.0000 0.0000
0.0000 0.5000 0.0000
0.5000 0.5000 0.5000


B | K2CdAgP (PBE, relaxed); symmetry = P4/mmm (123)
1.0
6.3500 0.0000 0.0000
0.0000 6.3500 0.0000
0.0000 0.0000 4.7007
P Cd Ag K
1 1 1 2
direct
0.0000 0.0000 0.0000
0.5000 0.5000 0.5000
0.0000 0.0000 0.5000
0.5000 0.0000 0.0000
0.0000 0.5000 0.0000


Sorted by energy, starting with the most stable: B, A.


A | KRbCd2Ag (PBE, relaxed); symmetry = P4/mmm (123)
1.0
5.5679 0.0000 0.0000
0.0000 5.5679 0.0000
0.0000 0.0000 6.1623
Rb Ag K Cd
1 1 1 2
direct
0.5000 0.5000 0.5000
0.0000 0.0000 0.0000
0.0000 0.0000 0.5000
0.0000 0.5000 0.0000
0.5000 0.0000 0.0000


B | KRbCd2Ag (PBE, relaxed); symmetry = P4/mmm (123)
1.0
-3.9984 -3.7398 -1.0300
1.5417 -2.8895 4.5064
-4.0326 3.3414 3.5220
Cd K Ag Rb
2 1 1 1
direct
0.5000 0.0000 0.0000
0.0000 0.5000 0.0000
0.5000 0.5000 0.5000
0.0000 0.0000 0.0000
0.0000 0.0000 0.5000


Sorted by energy, starting with the most stable: A, B.


A | KRbCdAg (PBE, relaxed); symmetry = F-43m (216)
1.0
6.0956 0.0000 0.0000
3.0478 5.2789 0.0000
3.0478 1.7596 4.9770
Rb Cd Ag K
1 1 1 1
direct
0.0000 0.0000 0.0000
0.7500 0.7500 0.7500
0.2500 0.2500 0.2500
0.5000 0.5000 0.5000


B | KRbCdAg (PBE, relaxed); symmetry = Cm (8)
1.0
-4.6728 1.4191 0.9527
2.7602 -2.0369 3.6041
4.9750 7.4885 0.3817
Ag Rb K Cd
1 1 1 1
direct
0.5015 0.6155 0.1170
0.3569 0.0442 0.4012
0.9989 0.8628 0.8617
0.8348 0.2819 0.1167


Sorted by energy, starting with the most stable: B, A.


A | KCd2AgSn (PBE, relaxed); symmetry = P4/mmm (123)
1.0
-1.8697 -0.5036 5.0677
3.4504 -4.0958 0.8660
3.7308 3.5076 1.7251
Cd Ag Sn K
2 1 1 1
direct
0.0000 0.5000 0.0000
0.5000 0.0000 0.0000
0.0000 0.0000 0.0000
0.0000 0.0000 0.5000
0.5000 0.5000 0.5000


B | KCd2AgSn (PBE, relaxed); symmetry = P4/mmm (123)
1.0
5.5323 0.0000 0.0000
0.0000 6.7490 0.0000
0.0000 0.0000 5.5323
Ag Cd Sn K
1 2 1 1
direct
0.5000 0.5000 0.5000
0.0000 0.0000 0.5000
0.5000 0.0000 0.0000
0.0000 0.0000 0.0000
0.0000 0.5000 0.0000


Sorted by energy, starting with the most stable: A, B.


A | KTlCdAg (PBE, relaxed); symmetry = R3m (160)
1.0
4.9641 0.0000 0.0000
2.4821 4.2991 0.0000
2.4821 1.4330 6.0402
K Cd Tl Ag
1 1 1 1
direct
0.8122 0.8122 0.5634
0.2807 0.2807 0.1578
0.0156 0.0156 0.9531
0.6173 0.6173 0.1481


B | KTlCdAg (PBE, relaxed); symmetry = F-43m (216)
1.0
-3.7835 -0.9216 3.8063
0.5756 -4.1664 3.4585
1.1246 0.9489 5.2428
Ag Tl K Cd
1 1 1 1
direct
0.2500 0.2500 0.2500
0.0000 0.0000 0.0000
0.5000 0.5000 0.5000
0.7500 0.7500 0.7500


Sorted by energy, starting with the most stable: A, B.


A | La3CdAg (PBE, relaxed); symmetry = Cmcm (63)
1.0
5.3477 0.0000 1.2221
0.0000 5.4880 0.0000
0.4074 0.0000 10.5290
La Cd Ag
6 2 2
direct
0.7618 0.2500 0.1246
0.0746 0.7500 0.4991
0.8865 0.7500 0.8754
0.3836 0.2500 0.8811
0.5737 0.2500 0.5009
0.2647 0.7500 0.1189
0.1723 0.2500 0.3037
0.4760 0.7500 0.6963
0.6718 0.7500 0.3048
0.9766 0.2500 0.6952


B | La3CdAg (PBE, relaxed); symmetry = P2_1/c (14)
1.0
-0.2148 -5.5843 -2.3326
4.7336 -3.4286 7.7722
-10.5042 -0.4621 2.0737
La Cd Ag
12 4 4
direct
0.0609 0.7894 0.1801
0.9032 0.1478 0.4464
0.0591 0.1507 0.1398
0.9409 0.8493 0.8602
0.9391 0.2106 0.8199
0.4409 0.6507 0.6398
0.0968 0.8522 0.5536
0.5609 0.7106 0.3199
0.4391 0.2894 0.6801
0.4032 0.3522 0.0536
0.5968 0.6478 0.9464
0.5591 0.3493 0.3602
0.9211 0.4927 0.6363
0.4211 0.0073 0.8637
0.5789 0.9927 0.1363
0.0789 0.5073 0.3637
0.1184 0.5391 0.8907
0.8816 0.4609 0.1093
0.3816 0.0391 0.3907
0.6184 0.9609 0.6093


Sorted by energy, starting with the most stable: A, B.


A | LaCd9Ag2 (PBE, relaxed); symmetry = I4_1/amd (141)
1.0
6.9084 0.0000 3.1805
3.4542 8.4219 1.5902
-0.0678 0.0000 9.2404
Cd La Ag
18 2 4
direct
0.7473 0.8218 0.5808
0.6000 0.0808 0.3218
0.6718 0.1782 0.5808
0.0000 0.0000 0.0000
0.0027 0.6782 0.9192
0.0027 0.9192 0.6782
0.0782 0.3218 0.9192
0.4309 0.4192 0.8218
0.6718 0.5808 0.1782
0.3191 0.0808 0.6782
0.3191 0.6782 0.0808
0.7473 0.5808 0.8218
0.4309 0.8218 0.4192
0.6000 0.3218 0.0808
0.7500 0.5000 0.5000
0.0782 0.9192 0.3218
0.1500 0.1782 0.4192
0.1500 0.4192 0.1782
0.2500 0.5000 0.5000
0.5000 0.0000 0.0000
0.8750 0.2500 0.2500
0.8750 0.7500 0.2500
0.8750 0.2500 0.7500
0.3750 0.7500 0.7500


B | LaCd9Ag2 (PBE, relaxed); symmetry = P6/mmm (191)
1.0
-1.4584 -3.0126 0.0925
5.3803 -2.8357 -7.5279
3.2433 -1.2931 9.0260
Cd Ag La
9 2 1
direct
0.5000 0.3662 0.1831
0.5000 0.1831 0.8169
0.5000 0.6338 0.8169
0.5000 0.8169 0.1831
0.5000 0.8169 0.6338
0.0000 0.5000 0.0000
0.5000 0.1831 0.3662
0.0000 0.5000 0.5000
0.0000 0.0000 0.5000
0.0000 0.3333 0.6667
0.0000 0.6667 0.3333
0.0000 0.0000 0.0000


Sorted by energy, starting with the most stable: A, B.


A | La4CdAg (PBE, relaxed); symmetry = P4/mmm (123)
1.0
3.8683 -0.0007 0.0002
0.0007 3.8683 0.0002
-0.0005 -0.0005 12.7864
La Cd Ag
4 1 1
direct
0.0000 0.0000 0.3551
0.5000 0.5000 0.8428
0.0000 0.0000 0.6449
0.5000 0.5000 0.1572
0.0000 0.0000 0.0000
0.5000 0.5000 0.5000


B | La4CdAg (PBE, relaxed); symmetry = F-43m (216)
1.0
0.0000 4.5872 4.5872
4.5872 0.0000 4.5872
4.5872 4.5872 0.0000
Ag La Cd
1 4 1
direct
0.7500 0.7500 0.7500
0.3745 0.3745 0.3745
0.3745 0.3745 0.8766
0.3745 0.8766 0.3745
0.8766 0.3745 0.3745
0.0000 0.0000 0.0000


Sorted by energy, starting with the most stable: A, B.


A | LaCd2Ag4 (PBE, relaxed); symmetry = I4/mmm (139)
1.0
4.9016 0.0000 2.8297
2.4508 5.1594 1.4148
-0.1288 0.0000 5.8832
Ag Cd La
4 2 1
direct
0.6927 0.0000 0.6145
0.6927 0.6145 0.0000
0.3073 0.3855 0.0000
0.3073 0.0000 0.3855
0.7500 0.5000 0.5000
0.2500 0.5000 0.5000
0.0000 0.0000 0.0000


B | LaCd2Ag4 (PBE, relaxed); symmetry = I4/mmm (139)
1.0
6.5758 -0.9343 0.0000
-3.5095 5.6389 0.0000
-1.5331 -2.3523 6.0192
La Cd Ag
1 2 4
direct
0.0000 0.0000 0.0000
0.7500 0.2500 0.5000
0.2500 0.7500 0.5000
0.7228 0.5000 0.2228
0.2772 0.5000 0.7772
0.5000 0.2772 0.7772
0.5000 0.7228 0.2228


Sorted by energy, starting with the most stable: A, B.